Record 1
Entry from Alexandria: a relaxed structure of KNa4Pb15 (PBE).

Cell lengths 5.0027, 5.0027, 24.3226 Å; angles 90.00, 90.00, 90.00 degrees
Sites, in units of the cell vectors:
K 0.0000 0.0000 0.0000
Na 0.0000 0.0000 0.2038
Na 0.0000 0.0000 0.4014
Na 0.0000 0.0000 0.5986
Na 0.0000 0.0000 0.7962
Pb 0.0000 0.5000 0.1058
Pb 0.0000 0.5000 0.3027
Pb 0.0000 0.5000 0.5000
Pb 0.0000 0.5000 0.6973
Pb 0.0000 0.5000 0.8942
Pb 0.5000 0.0000 0.1058
Pb 0.5000 0.0000 0.3027
Pb 0.5000 0.0000 0.5000
Pb 0.5000 0.0000 0.6973
Pb 0.5000 0.0000 0.8942
Pb 0.5000 0.5000 0.0000
Pb 0.5000 0.5000 0.2039
Pb 0.5000 0.5000 0.4013
Pb 0.5000 0.5000 0.5987
Pb 0.5000 0.5000 0.7961

**Formation enthalpy at 0 K**: -0.110 eV per atom
**SG**: P4/mmm (123)
**Electronic total energy**: -64.19 eV for the cell shown

Record 2
Entry from Alexandria: a relaxed structure of KNaPb3 (PBE).

Cell lengths 5.7170, 5.7170, 5.7170 Å; angles 90.00, 90.00, 90.00 degrees
Sites, in units of the cell vectors:
K 0.0000 0.0000 0.0000
Na 0.5000 0.5000 0.5000
Pb 0.0000 0.5000 0.5000
Pb 0.5000 0.0000 0.5000
Pb 0.5000 0.5000 0.0000

**Formation enthalpy at 0 K**: 0.228 eV per atom
**SG**: Pm-3m (221)
**E above lowest polymorph**: 316 meV/atom
**Electronic total energy**: -12.40 eV for the cell shown

Record 3
Entry from Alexandria: a relaxed structure of K2Na6Pb (PBE).

Cell lengths 7.1553, 7.1553, 8.3448 Å; angles 95.52, 95.52, 59.03 degrees
Sites, in units of the cell vectors:
K 0.1745 0.1745 0.1016
K 0.8255 0.8255 0.8984
Na 0.1907 0.6864 0.3086
Na 0.3117 0.3117 0.6452
Na 0.3136 0.8093 0.6914
Na 0.6864 0.1907 0.3086
Na 0.6883 0.6883 0.3548
Na 0.8093 0.3136 0.6914
Pb 0.5000 0.5000 0.0000

**Formation enthalpy at 0 K**: -0.034 eV per atom
**SG**: C2/m (12)
**E above lowest polymorph**: 0 meV/atom
**Electronic total energy**: -14.12 eV for the cell shown

Record 4
Entry from Alexandria: a relaxed structure of K7Na12Pb (PBE).

Cell lengths 11.8027, 11.8027, 11.8027 Å; angles 109.47, 109.47, 109.47 degrees
Sites, in units of the cell vectors:
K 0.0000 0.0000 0.5000
K 0.0000 0.5000 0.0000
K 0.0000 0.5000 0.5000
K 0.5000 0.0000 0.0000
K 0.5000 0.0000 0.5000
K 0.5000 0.5000 0.0000
K 0.5000 0.5000 0.5000
Na 0.1096 0.7433 0.3663
Na 0.2567 0.3663 0.6230
Na 0.2567 0.6337 0.8904
Na 0.3663 0.1096 0.7433
Na 0.3663 0.6230 0.2567
Na 0.3770 0.7433 0.6337
Na 0.6230 0.2567 0.3663
Na 0.6337 0.3770 0.7433
Na 0.6337 0.8904 0.2567
Na 0.7433 0.3663 0.1096
Na 0.7433 0.6337 0.3770
Na 0.8904 0.2567 0.6337
Pb 0.0000 0.0000 0.0000

**Formation enthalpy at 0 K**: 0.266 eV per atom
**SG**: Im-3 (204)
**Electronic total energy**: -21.91 eV for the cell shown

Record 5
Entry from Alexandria: a relaxed structure of K2Na3Pb (PBE).

Cell lengths 7.9454, 7.9454, 7.9454 Å; angles 136.34, 129.57, 68.87 degrees
Sites, in units of the cell vectors:
K 0.2087 0.2087 0.0000
K 0.7913 0.7913 0.0000
Na 0.0000 0.5000 0.5000
Na 0.3883 0.8883 0.5000
Na 0.6117 0.1117 0.5000
Pb 0.5000 0.5000 0.0000

**Formation enthalpy at 0 K**: 0.009 eV per atom
**SG**: Immm (71)
**E above lowest polymorph**: 101 meV/atom
**Electronic total energy**: -9.81 eV for the cell shown

Record 6
Entry from Alexandria: a relaxed structure of K4NaPb (PBE).

Cell lengths 12.6658, 6.6106, 8.2697 Å; angles 90.00, 90.00, 90.00 degrees
Sites, in units of the cell vectors:
K 0.0000 0.0076 0.0000
K 0.0000 0.0136 0.5546
K 0.2307 0.5143 0.5112
K 0.2693 0.4857 0.0112
K 0.5000 0.9864 0.0546
K 0.5000 0.9924 0.5000
K 0.7307 0.4857 0.0112
K 0.7693 0.5143 0.5112
Na 0.0000 0.5125 0.2040
Na 0.5000 0.4875 0.7040
Pb 0.0000 0.5095 0.7998
Pb 0.5000 0.4905 0.2998

**Formation enthalpy at 0 K**: -0.006 eV per atom
**SG**: Pmn2_1 (31)
**Electronic total energy**: -18.90 eV for the cell shown

Record 7
Entry from Alexandria: a relaxed structure of K2Na7Pb (PBE).

Cell lengths 8.8068, 8.8068, 8.8068 Å; angles 60.00, 60.00, 60.00 degrees
Sites, in units of the cell vectors:
K 0.2500 0.2500 0.2500
K 0.7500 0.7500 0.7500
Na 0.0000 0.0000 0.0000
Na 0.2560 0.2560 0.7440
Na 0.2560 0.7440 0.2560
Na 0.2560 0.7440 0.7440
Na 0.7440 0.2560 0.2560
Na 0.7440 0.2560 0.7440
Na 0.7440 0.7440 0.2560
Pb 0.5000 0.5000 0.5000

**Formation enthalpy at 0 K**: 0.064 eV per atom
**SG**: Fm-3m (225)
**Electronic total energy**: -14.49 eV for the cell shown

Record 8
Entry from Alexandria: a relaxed structure of KNaPb2 (PBE).

Cell lengths 11.6897, 11.6897, 11.6897 Å; angles 17.89, 17.89, 17.89 degrees
Sites, in units of the cell vectors:
K 0.0000 0.0000 0.0000
Na 0.5000 0.5000 0.5000
Pb 0.2443 0.2443 0.2443
Pb 0.7557 0.7557 0.7557

**Formation enthalpy at 0 K**: -0.026 eV per atom
**SG**: R-3m (166)
**E above lowest polymorph**: 97 meV/atom
**Electronic total energy**: -9.94 eV for the cell shown

Record 9
Entry from Alexandria: a relaxed structure of K2NaPb (PBE).

Cell lengths 14.1415, 14.1415, 14.1415 Å; angles 15.68, 15.68, 15.68 degrees
Sites, in units of the cell vectors:
K 0.0838 0.0838 0.0838
K 0.9162 0.9162 0.9162
Na 0.5000 0.5000 0.5000
Pb 0.0000 0.0000 0.0000

**Formation enthalpy at 0 K**: 0.166 eV per atom
**SG**: R-3m (166)
**Electronic total energy**: -6.56 eV for the cell shown

Record 10
Entry from Alexandria: a relaxed structure of K5Na5Pb (PBE).

Cell lengths 7.2382, 7.2382, 13.8209 Å; angles 94.73, 94.73, 50.64 degrees
Sites, in units of the cell vectors:
K 0.0000 0.0000 0.0000
K 0.2992 0.2992 0.8852
K 0.4042 0.4042 0.2516
K 0.5958 0.5958 0.7484
K 0.7008 0.7008 0.1148
Na 0.1026 0.1026 0.3037
Na 0.2385 0.2385 0.5790
Na 0.5000 0.5000 0.5000
Na 0.7615 0.7615 0.4210
Na 0.8974 0.8974 0.6963
Pb 0.0000 0.0000 0.5000

**Formation enthalpy at 0 K**: 0.001 eV per atom
**SG**: C2/m (12)
**Electronic total energy**: -15.78 eV for the cell shown

Record 11
Entry from Alexandria: a relaxed structure of K2Na3Pb (PBE).

Cell lengths 6.8775, 6.8775, 6.9140 Å; angles 118.46, 118.46, 61.41 degrees
Sites, in units of the cell vectors:
K 0.1302 0.1302 0.3694
K 0.8698 0.8698 0.6306
Na 0.0000 0.5000 0.0000
Na 0.5000 0.0000 0.0000
Na 0.5000 0.5000 0.5000
Pb 0.5000 0.5000 0.0000

**Formation enthalpy at 0 K**: -0.093 eV per atom
**SG**: C2/m (12)
**E above lowest polymorph**: 0 meV/atom
**Electronic total energy**: -10.42 eV for the cell shown

Record 12
Entry from Alexandria: a relaxed structure of K2NaPb (PBE).

Cell lengths 11.6325, 6.8306, 10.7283 Å; angles 90.00, 117.38, 90.00 degrees
Sites, in units of the cell vectors:
K 0.1539 0.2500 0.0771
K 0.1539 0.2500 0.5771
K 0.2337 0.7251 0.3669
K 0.2337 0.7749 0.8669
K 0.7663 0.2251 0.1331
K 0.7663 0.2749 0.6331
K 0.8461 0.7500 0.4229
K 0.8461 0.7500 0.9229
Na 0.4999 0.0001 0.2293
Na 0.5001 0.9999 0.7707
Na 0.5001 0.5001 0.2707
Na 0.4999 0.4999 0.7293
Pb 0.4097 0.1984 0.4548
Pb 0.4097 0.3016 0.9548
Pb 0.5903 0.6984 0.0452
Pb 0.5903 0.8016 0.5452

**Formation enthalpy at 0 K**: -0.094 eV per atom
**SG**: P2_1/c (14)
**Electronic total energy**: -30.39 eV for the cell shown

> formation enthalpy at 0 K of number 7 (K2Na7Pb)?

0.064 eV per atom